Record 1
# Al2FeCl, PBEsol geometry, DFT SCAN
# ΔE to the lowest computed polymorph in meV/atom: 0.0
data_Al2FeCl
_cell_length_a 2.920
_cell_length_b 2.920
_cell_length_c 9.438
_cell_angle_alpha 81.10
_cell_angle_beta 81.10
_cell_angle_gamma 60.00
_symmetry_space_group_name_H-M 'P 1'
_symmetry_Int_Tables_number 1
_symmetry_space_group_name_Hall 'P 1'
loop_
_atom_site_label
_atom_site_fract_x
_atom_site_fract_y
_atom_site_fract_z
_atom_site_occupancy
Cl1 0.527 0.527 0.420 1
Al1 0.987 0.987 0.040 1
Al2 0.737 0.737 0.790 1
Fe1 0.250 0.250 0.250 1



Record 2
# AlFe2Cl, PBEsol geometry, DFT SCAN
# ΔE to the lowest computed polymorph in meV/atom: 0.0
data_AlFe2Cl
_cell_length_a 2.865
_cell_length_b 4.454
_cell_length_c 5.832
_cell_angle_alpha 86.35
_cell_angle_beta 75.78
_cell_angle_gamma 71.24
_symmetry_space_group_name_H-M 'P 1'
_symmetry_Int_Tables_number 1
_symmetry_space_group_name_Hall 'P 1'
loop_
_atom_site_label
_atom_site_fract_x
_atom_site_fract_y
_atom_site_fract_z
_atom_site_occupancy
Al1 0.000 0.500 0.500 1
Fe1 0.196 0.956 0.653 1
Fe2 0.804 0.044 0.347 1
Cl1 0.500 0.000 0.000 1



Record 3
# Al2FeCl, PBEsol geometry, DFT SCAN
# ΔE to the lowest computed polymorph in meV/atom: 141.5
data_Al2FeCl
_cell_length_a 2.910
_cell_length_b 2.910
_cell_length_c 7.405
_cell_angle_alpha 90.00
_cell_angle_beta 90.00
_cell_angle_gamma 90.00
_symmetry_space_group_name_H-M 'P 1'
_symmetry_Int_Tables_number 1
_symmetry_space_group_name_Hall 'P 1'
loop_
_atom_site_label
_atom_site_fract_x
_atom_site_fract_y
_atom_site_fract_z
_atom_site_occupancy
Cl1 0.000 0.000 0.556 1
Al1 0.000 0.000 0.964 1
Al2 0.500 0.500 0.223 1
Fe1 0.500 0.500 0.757 1



no.,ΔE_f (raw) (eV per atom),uncorrected energy (hartree per atom)
1,-0.13,-0.3870
2,-0.02,-0.4782
3,0.01,-0.3818